DFT (PBE) results for crystalline Hf6CuRh2 at its relaxed geometry.

```
18
Lattice="5.672 0.000 0.328 0.000 7.208 0.000 -0.184 0.000 8.698" Properties=species:S:1:pos:R:3 pbc="T T T"
Hf 4.588 6.712 2.381
Hf 4.642 4.655 5.017
Hf 4.652 5.320 8.325
Hf 3.581 1.716 5.215
Hf 3.591 1.052 8.522
Hf 3.828 3.108 2.461
Hf 0.900 0.496 6.646
Hf 0.847 2.552 4.009
Hf 0.837 1.887 0.701
Hf 1.907 5.491 3.812
Hf 1.898 6.156 0.504
Hf 1.660 4.100 6.566
Cu 2.836 3.604 0.164
Cu -0.092 0.000 4.349
Rh 4.956 2.929 7.236
Rh 3.276 6.533 6.303
Rh 2.212 0.674 2.723
Rh 0.532 4.278 1.790
```

## Properties
- magnetization (μB/f.u.) = 0.0
- V (Å³/cell) = 356.0
- symmetry = P2_1/c, No. 14
- uncorrected energy (eV/cell) = -162.6

=====

DFT (PBE) results for crystalline NaPr2TlO5 at its relaxed geometry.

```
18
Lattice="-3.531 0.567 -0.378 0.438 -5.941 4.111 0.036 6.000 8.668" Properties=species:S:1:pos:R:3 pbc="T T T"
Na -2.499 0.074 6.353
Na -0.541 3.536 10.360
Pr -2.674 0.987 9.356
Pr -0.283 2.819 6.873
Pr -0.381 0.025 3.602
Pr -2.779 -2.935 4.455
Tl -1.831 5.671 8.501
Tl -1.211 -2.422 7.690
O -0.997 -4.133 3.120
O -2.216 3.296 8.540
O -1.267 -0.881 10.519
O -0.731 0.813 8.052
O -2.920 -1.250 8.302
O -2.077 1.997 5.292
O -0.835 -1.551 5.479
O -1.789 1.776 2.271
O -2.332 -1.128 2.991
O -0.150 -0.175 1.136
```

## Properties
- magnetization (μB/f.u.) = 0.0
- V (Å³/cell) = 265.8
- symmetry = Cmc2_1, No. 36
- uncorrected energy (eV/cell) = -115.7
- uncorrected formation energy (eV per atom) = -2.203

=====

DFT (PBE) results for crystalline NdFe4Sn12 at its relaxed geometry.

```
17
Lattice="8.079 0.000 0.000 -2.693 7.617 0.000 -2.693 -3.808 6.596" Properties=species:S:1:pos:R:3 pbc="T T T"
Nd 0.000 0.000 0.000
Fe -1.347 3.808 0.000
Fe 4.040 0.000 0.000
Fe 1.347 1.904 3.298
Fe -1.347 -1.904 3.298
Sn 5.374 1.913 1.047
Sn 0.855 3.172 1.133
Sn 4.531 -1.241 4.416
Sn 0.012 -1.945 5.463
Sn -1.838 5.050 2.180
Sn 1.838 0.637 5.463
Sn 2.705 0.049 2.180
Sn -0.012 3.759 4.416
Sn 2.681 5.753 1.133
Sn 3.548 3.204 3.283
Sn -0.855 0.605 3.313
Sn -2.681 1.896 5.549
```

## Properties
- magnetization (μB/f.u.) = 5.8
- V (Å³/cell) = 405.9
- symmetry = Im-3, No. 204
- uncorrected energy (eV/cell) = -86.0

=====

DFT (PBE) results for crystalline NdTe3Pd3 at its relaxed geometry.

```
14
Lattice="7.331 0.000 0.000 0.000 7.331 0.000 0.000 0.000 7.331" Properties=species:S:1:pos:R:3 pbc="T T T"
Te 1.833 0.000 3.666
Te 0.000 3.666 1.833
Te 3.666 5.498 0.000
Te 5.498 0.000 3.666
Te 0.000 3.666 5.498
Te 3.666 1.833 0.000
Nd 3.666 3.666 3.666
Nd 0.000 0.000 0.000
Pd 0.000 1.833 3.666
Pd 0.000 5.498 3.666
Pd 3.666 0.000 5.498
Pd 5.498 3.666 0.000
Pd 3.666 0.000 1.833
Pd 1.833 3.666 0.000
```

## Properties
- magnetization (μB/f.u.) = 0.0
- V (Å³/cell) = 394.0
- symmetry = Pm-3n, No. 223
- uncorrected energy (eV/cell) = -63.5
- uncorrected formation energy (eV per atom) = -0.282